MgIn2POs after structural relaxation. Source: Alexandria, functional PBE.

Values from the calculation:
energy of formation = 1.0620 eV/atom

Cell: 5.004 5.004 4.594 Å, 90.00 90.00 90.00°
Space group P4/mmm (No. 123)
Symmetry-distinct sites (fractional):
Mg (0.000, 0.000, 0.000)
In (0.000, 0.500, 0.500)
P (0.000, 0.000, 0.500)
Os (0.500, 0.500, 0.000)